{
  "formula": "MgH3Ir4",
  "functional": "PBE",
  "state": "relaxed",
  "magmom_total_mub_per_cell": 0.000,
  "polymorph_energy_mev_per_atom": 35.4,
  "lattice_angstrom": [[7.062, 0.000, 0.000], [0.000, 7.247, 0.000], [-2.732, 0.000, 3.443]],
  "species": ["Mg", "Mg", "H", "H", "H", "H", "H", "H", "Ir", "Ir", "Ir", "Ir", "Ir", "Ir", "Ir", "Ir"],
  "frac_coords": [[0.000, 0.000, 0.000], [0.500, 0.500, 0.000], [0.000, 0.044, 0.500], [0.200, 0.751, 0.801], [0.300, 0.251, 0.199], [0.500, 0.544, 0.500], [0.700, 0.251, 0.801], [0.800, 0.751, 0.199], [0.000, 0.363, 0.000], [0.000, 0.544, 0.500], [0.246, 0.689, 0.247], [0.254, 0.189, 0.753], [0.500, 0.044, 0.500], [0.500, 0.863, 0.000], [0.746, 0.189, 0.247], [0.754, 0.689, 0.753]]
}